{
  "formula": "Zn2CuRh",
  "functional": "meta-GGA SCAN",
  "state": "PBEsol geometry",
  "magmom_total_mub_per_fu": 0.00,
  "cell": [[3.812, 0.000, 0.000], [0.000, 3.812, 0.000], [0.000, 0.000, 3.508]],
  "species": ["Zn", "Zn", "Cu", "Rh"],
  "frac_coords": [[0.000, 0.500, 0.000], [0.500, 0.000, 0.000], [0.000, 0.000, 0.500], [0.500, 0.500, 0.500]]
}

---

{
  "formula": "ZrCu2Rh",
  "functional": "meta-GGA SCAN",
  "state": "PBEsol geometry",
  "magmom_total_mub_per_fu": 0.00,
  "cell": [[3.280, 0.000, 0.000], [0.000, 3.280, 0.000], [0.000, 0.000, 5.444]],
  "species": ["Zr", "Cu", "Cu", "Rh"],
  "frac_coords": [[0.000, 0.000, 0.000], [0.000, 0.000, 0.491], [0.500, 0.500, 0.288], [0.500, 0.500, 0.754]]
}

---

{
  "formula": "ZrCu2Rh",
  "functional": "meta-GGA SCAN",
  "state": "PBEsol geometry",
  "magmom_total_mub_per_fu": 0.00,
  "cell": [[0.000, 3.058, 3.058], [3.058, 0.000, 3.058], [3.058, 3.058, 0.000]],
  "species": ["Zr", "Cu", "Cu", "Rh"],
  "frac_coords": [[0.000, 0.000, 0.000], [0.250, 0.250, 0.250], [0.750, 0.750, 0.750], [0.500, 0.500, 0.500]]
}

---

{
  "formula": "ZrCuRh",
  "functional": "meta-GGA SCAN",
  "state": "PBEsol geometry",
  "magmom_total_mub_per_fu": 0.00,
  "cell": [[-1.586, 1.754, 4.166], [1.586, -1.754, 4.166], [1.586, 1.754, -4.166]],
  "species": ["Zr", "Cu", "Rh"],
  "frac_coords": [[0.000, 0.000, 0.000], [0.673, 0.673, 0.000], [0.337, 0.337, 0.000]]
}

---

{
  "formula": "ZrCu2Rh",
  "functional": "meta-GGA SCAN",
  "state": "PBEsol geometry",
  "magmom_total_mub_per_fu": 0.00,
  "cell": [[-1.866, 1.866, 4.067], [1.866, -1.866, 4.067], [1.866, 1.866, -4.067]],
  "species": ["Zr", "Cu", "Cu", "Rh"],
  "frac_coords": [[0.000, 0.000, 0.000], [0.250, 0.750, 0.500], [0.750, 0.250, 0.500], [0.500, 0.500, 0.000]]
}

---

{
  "formula": "ZrCu2Rh",
  "functional": "meta-GGA SCAN",
  "state": "PBEsol geometry",
  "magmom_total_mub_per_fu": 0.00,
  "cell": [[-1.917, 1.917, 3.878], [1.917, -1.917, 3.878], [1.917, 1.917, -3.878]],
  "species": ["Zr", "Cu", "Cu", "Rh"],
  "frac_coords": [[0.000, 0.000, 0.000], [0.250, 0.750, 0.500], [0.500, 0.500, 0.000], [0.750, 0.250, 0.500]]
}

---

The following DFT total energy values (in eV/atom) correspond, in order, to the records above: -19.346; -24.056; -23.965; -27.135; -24.195; -24.137.